[1]
Computed, not measured: an optimized crystal structure of Rb2UBSe5 at the PBE level of DFT.

Cell: 4.1028 10.0929 14.7478 Å, 90.00 90.00 101.73°
Closest atoms and distances in Å follow each position.
Sites, in units of the cell vectors:
U (0.1868, 0.3736, 0.0317)  6 Se 2.60-2.88
Se (0.9478, 0.8956, 0.4941)  2 B 2.49, 1 U 2.72
U (0.8132, 0.6264, 0.5317)  6 Se 2.60-2.88
Rb (0.1304, 0.2609, 0.6868)  7 Se 3.44-3.82
Se (0.4798, 0.9595, 0.3014)  1 B 1.92
Se (0.3174, 0.6348, 0.0109)  1 U 2.60
Rb (0.1150, 0.2300, 0.3417)  6 Se 3.42-3.66
Rb (0.8696, 0.7391, 0.1868)  7 Se 3.44-3.82
Se (0.6815, 0.3630, 0.8945)  1 B 2.03
Rb (0.8850, 0.7700, 0.8417)  6 Se 3.42-3.66
Se (0.3185, 0.6370, 0.3945)  1 B 2.03
Se (0.6826, 0.3652, 0.5109)  1 U 2.60
B (0.5791, 0.1582, 0.9053)  2 Se 1.92-2.03
Se (0.3163, 0.6325, 0.6577)  2 U 2.77
Se (0.6837, 0.3675, 0.1577)  2 U 2.77
Se (0.5202, 0.0405, 0.8014)  1 B 1.92
Se (0.0522, 0.1044, 0.9941)  2 B 2.49, 1 U 2.72
B (0.4209, 0.8418, 0.4053)  2 Se 1.92-2.03

Summary:
Crystal system: orthorhombic
Space group: No. 36
E_tot: -44.66 eV/f.u.
DOS(E_F): 10.31 states/eV per cell

---

[2]
Computed, not measured: an optimized crystal structure of Ce3YH at the PBE level of DFT.

Cell: 4.9905 4.9905 4.9905 Å, 90.00 90.00 90.00°
Closest atoms and distances in Å follow each position.
Sites, in units of the cell vectors:
Ce (0.5000, 0.0000, 0.0000)  2 H 2.50
Ce (0.0000, 0.5000, 0.0000)  2 H 2.50
Ce (0.0000, 0.0000, 0.5000)  2 H 2.50
Y (0.5000, 0.5000, 0.5000)  12 Ce 3.53
H (0.0000, 0.0000, 0.0000)  6 Ce 2.50

Summary:
Crystal system: cubic
Space group: No. 221
E_tot: -27.91 eV/f.u.
DOS(E_F): 11.24 states/eV per cell

---

[3]
Computed, not measured: an optimized crystal structure of CaHRh2Au at the PBE level of DFT.

Cell: 4.0431 4.0431 4.4010 Å, 90.00 90.00 90.00°
Closest atoms and distances in Å follow each position.
Sites, in units of the cell vectors:
Ca (0.0000, 0.0000, 0.5000)  2 H 2.20
Au (0.5000, 0.5000, 0.5000)  4 Ca 2.86, 8 Rh 2.99
H (0.0000, 0.0000, 0.0000)  4 Rh 2.02, 2 Ca 2.20
Rh (0.5000, 0.0000, 0.0000)  2 H 2.02
Rh (0.0000, 0.5000, 0.0000)  2 H 2.02

Summary:
Crystal system: tetragonal
Space group: No. 123
E_tot: -24.55 eV/f.u.
DOS(E_F): 4.93 states/eV per cell

---

[4]
Computed, not measured: an optimized crystal structure of V2FeHRu at the PBE level of DFT.

Cell: 3.8422 3.8422 3.6810 Å, 90.00 90.00 90.00°
Closest atoms and distances in Å follow each position.
Sites, in units of the cell vectors:
V (0.0000, 0.5000, 0.0000)  2 H 1.92
Ru (0.0000, 0.0000, 0.5000)  2 H 1.84
H (0.0000, 0.0000, 0.0000)  2 Ru 1.84, 4 V 1.92
Fe (0.5000, 0.5000, 0.5000)  8 V 2.66, 4 Ru 2.72
V (0.5000, 0.0000, 0.0000)  2 H 1.92

Summary:
Crystal system: tetragonal
Space group: No. 123
E_tot: -39.60 eV/f.u.
DOS(E_F): 5.15 states/eV per cell

---

Q: Which value of DOS(E_F) does entry 1 give?
A: 10.31 states/eV per cell

---

Q: Look up the E_tot of the second one.
A: -27.91 eV/f.u.

---

Q: What is the DOS(E_F) in the fourth record?
A: 5.15 states/eV per cell

---

Q: DOS(E_F) of number 2 (Ce3YH)?
A: 11.24 states/eV per cell